Here is ZnCd2Pb at its PBEsol-relaxed geometry from Alexandria via LeMat-Bulk. Energies are from SCAN.

DFT formation energy, eV per atom: 0.13
E_tot, eV/cell: -448.80
Total magnetic moment, μB/cell: 0.00

Geometry as CIF:
```
data_ZnCd2Pb
_symmetry_space_group_name_H-M 'R -3 m'
_symmetry_Int_Tables_number 166
_symmetry_space_group_name_Hall '-R 3 2"'
_cell_length_a 3.2334
_cell_length_b 3.2334
_cell_length_c 29.2888
_cell_angle_alpha 90.00
_cell_angle_beta 90.00
_cell_angle_gamma 120.00
loop_
_atom_site_label
_atom_site_type_symbol
_atom_site_fract_x
_atom_site_fract_y
_atom_site_fract_z
_atom_site_occupancy
Zn1 Zn 0.0000 0.0000 0.0000 1
Cd1 Cd 0.0000 0.0000 0.2611 1
Pb1 Pb 0.0000 0.0000 0.5000 1
```


Here is ZnCd2Pb at its PBEsol-relaxed geometry from Alexandria via LeMat-Bulk. Energies are from SCAN.

DFT formation energy, eV per atom: 0.14
E_tot, eV/cell: -149.57
Total magnetic moment, μB/cell: 0.00

Geometry as CIF:
```
data_ZnCd2Pb
_symmetry_space_group_name_H-M 'P 4 m m'
_symmetry_Int_Tables_number 99
_cell_length_a 3.239
_cell_length_b 3.239
_cell_length_c 8.279
_cell_angle_alpha 90.00
_cell_angle_beta 90.00
_cell_angle_gamma 90.00
loop_
_symmetry_equiv_pos_as_xyz
'x,y,z'
'-y,x,z'
'-x,-y,z'
'y,-x,z'
'-x,y,z'
'y,x,z'
'x,-y,z'
'-y,-x,z'
loop_
_atom_site_label
_atom_site_type_symbol
_atom_site_fract_x
_atom_site_fract_y
_atom_site_fract_z
_atom_site_occupancy
Zn1 Zn 0.000 0.000 0.000 1
Cd1 Cd 0.000 0.000 0.446 1
Cd2 Cd 0.500 0.500 0.202 1
Pb1 Pb 0.500 0.500 0.742 1
```


Here is ZnCd2Pb2 at its PBEsol-relaxed geometry from Alexandria via LeMat-Bulk. Energies are from SCAN.

DFT formation energy, eV per atom: 0.23
E_tot, eV/cell: -449.48
Total magnetic moment, μB/cell: 0.00

Geometry as CIF:
```
data_ZnCd2Pb2
_symmetry_space_group_name_H-M 'I 4/m m m'
_symmetry_Int_Tables_number 139
_symmetry_space_group_name_Hall '-I 4 2'
_cell_length_a 3.900
_cell_length_b 3.900
_cell_length_c 16.864
_cell_angle_alpha 90.00
_cell_angle_beta 90.00
_cell_angle_gamma 90.00
loop_
_atom_site_label
_atom_site_type_symbol
_atom_site_fract_x
_atom_site_fract_y
_atom_site_fract_z
_atom_site_occupancy
Zn1 Zn 0.000 0.000 0.000 1
Cd1 Cd 0.000 0.500 0.250 1
Pb1 Pb 0.000 0.000 0.402 1
```


Here is Zn2CdPb at its PBEsol-relaxed geometry from Alexandria via LeMat-Bulk. Energies are from SCAN.

DFT formation energy, eV per atom: 0.14
E_tot, eV/cell: -132.66
Total magnetic moment, μB/cell: 0.00

Geometry as CIF:
```
data_Zn2CdPb
_symmetry_space_group_name_H-M 'P 1 m 1'
_symmetry_Int_Tables_number 6
_cell_length_a 3.787
_cell_length_b 4.195
_cell_length_c 5.437
_cell_angle_alpha 90.00
_cell_angle_beta 107.67
_cell_angle_gamma 90.00
loop_
_symmetry_equiv_pos_as_xyz
'x,y,z'
'x,-y,z'
loop_
_atom_site_label
_atom_site_type_symbol
_atom_site_fract_x
_atom_site_fract_y
_atom_site_fract_z
_atom_site_occupancy
Zn1 Zn 0.000 0.000 0.000 1
Zn2 Zn 0.132 0.500 0.284 1
Cd1 Cd 0.718 0.000 0.440 1
Pb1 Pb 0.422 0.500 0.824 1
```